A relaxed structure of Hf6MgIn2. Source: Alexandria via LeMat-Bulk, functional PBE.

The structure in POSCAR format:
```
Hf6MgIn2
1.0
-0.3721 0.9810 2.8817
4.2581 -5.1098 3.9212
7.8987 4.4993 1.1202
Hf Mg In
6 1 2
Direct
0.2302 0.6420 0.8976 Hf
0.3846 0.6675 0.5634 Hf
0.7698 0.3580 0.1024 Hf
0.6154 0.3325 0.4366 Hf
0.0550 0.6441 0.2459 Hf
0.9450 0.3559 0.7541 Hf
0.0000 0.0000 0.0000 Mg
0.3427 0.0107 0.3039 In
0.6573 0.9893 0.6961 In
```

Calculated values
Space-group type: No. 12
Final energy, eV per cell: -66.78
Calculated volume, Å³/cell: 205.92
Energy of formation, meV/atom: 1.5